Record 1
The following is a DFT calculation (PBE) of an optimized crystal structure of LiCdGa2.

abc: 3.421 3.421 6.432
angles: 90.00 90.00 90.00
Atoms (fractional coordinates):
Ga  0.000  0.000  0.226
Ga  0.000  0.000  0.774
Cd  0.500  0.500  0.500
Li  0.500  0.500  0.000

Results
Size of the total moment (μB/f.u.): 0.00

***

Record 2
The following is a DFT calculation (PBE) of an optimized crystal structure of Li4Cd6Ga.

abc: 5.681 8.304 5.681
angles: 70.00 90.00 110.00
Atoms (fractional coordinates):
Cd  0.539  0.704  0.836
Cd  0.500  0.000  0.000
Cd  0.164  0.704  0.461
Cd  0.461  0.296  0.539
Cd  0.000  0.000  0.500
Cd  0.836  0.296  0.164
Li  0.649  0.679  0.351
Li  0.351  0.321  0.030
Li  0.970  0.321  0.649
Li  0.030  0.679  0.970
Ga  0.000  0.000  0.000

Results
Size of the total moment (μB/f.u.): 0.00

***

Result set for calculated formation energy: -0.098; -0.073 eV per atom, one per record in the order listed.